20
Lattice="6.4301 0.0000 0.0000 0.0000 8.3428 0.1562 0.0000 -2.9078 9.1053" Properties=species:S:1:pos:R:3 comment="Pr3GeH | Alexandria via LeMat-Bulk | PBE | optimized geometry" de_polymorph_mev_per_atom=0.0 pbc="T T T"
Pr 0.1609 3.9953 5.8580
Pr 6.2692 1.4397 3.4035
Pr 3.3760 4.1572 8.0343
Pr 3.0541 1.2778 1.2272
Pr 3.4855 4.3603 4.6358
Pr 2.9446 1.0748 4.6257
Pr 0.2704 6.7001 0.1512
Pr 6.1596 -1.2650 9.1103
Pr 1.7189 4.3292 1.7443
Pr 4.7112 1.1058 7.5172
Pr 4.9340 6.7311 3.0426
Pr 1.4961 -1.2960 6.2188
Ge 4.7384 -1.7022 6.1663
Ge 1.6917 7.1372 3.0952
Ge 1.5233 1.5119 7.5697
Ge 4.9068 3.9231 1.6917
H 1.5218 3.0682 4.0294
H 4.9083 2.3669 5.2321
H 4.7368 7.9922 0.7575
H 1.6933 -2.5571 8.5040



5
Lattice="6.3027 0.0000 0.0000 0.0000 6.3027 0.0000 0.0000 0.0000 6.5977" Properties=species:S:1:pos:R:3 comment="RbCSCl2 | Alexandria via LeMat-Bulk | PBE | optimized geometry" raw_formation_energy_mev_per_atom=1727 de_polymorph_mev_per_atom=1548.7 pbc="T T T"
S 0.0000 0.0000 3.2989
C 3.1514 3.1514 3.2989
Rb 0.0000 0.0000 0.0000
Cl 0.0000 3.1514 0.0000
Cl 3.1514 0.0000 0.0000



4
Lattice="0.0000 3.6450 3.6450 3.6450 0.0000 3.6450 3.6450 3.6450 0.0000" Properties=species:S:1:pos:R:3 comment="SrIn2W | Alexandria via LeMat-Bulk | PBE | optimized geometry" de_polymorph_mev_per_atom=224.1 e_form_ev_per_atom=0.587 pbc="T T T"
Sr 0.0000 0.0000 0.0000
W 3.6450 3.6450 3.6450
In 1.8225 1.8225 1.8225
In 5.4675 5.4675 5.4675



12
Lattice="-6.7393 0.3135 2.1954 3.6285 -6.0724 0.5448 3.0885 3.6890 5.1272" Properties=species:S:1:pos:R:3 comment="Ca3CePa2P6 | Alexandria via LeMat-Bulk | PBE | optimized geometry" e_form_ev_per_atom=-1.289 pbc="T T T"
Ca 3.4659 -3.1766 3.3801
Ca -3.4883 1.1068 4.4872
Ca -0.0112 -1.0349 3.9337
Ce 0.0000 0.0000 0.0000
Pa 0.1750 -3.9452 1.0946
Pa -3.2858 -1.8136 1.6456
P -1.7418 -0.3921 6.2850
P -1.5673 -3.3713 3.1985
P 1.7194 -1.6777 1.5824
P 1.8189 -2.5852 5.7181
P 1.5449 1.3015 4.6688
P -1.8412 0.5154 2.1492



7
Lattice="7.2686 0.0000 0.0000 0.0000 7.2686 0.0000 -3.6343 -3.6343 4.2209" Properties=species:S:1:pos:R:3 comment="K2SeCl4 | Alexandria via LeMat-Bulk | PBE | optimized geometry" raw_formation_energy_mev_per_atom=-1250 pbc="T T T"
K 3.6343 0.0000 2.1105
K 0.0000 3.6343 2.1105
Se 3.6343 3.6343 0.0000
Cl 5.3811 1.8875 0.0006
Cl 1.8875 5.3811 0.0006
Cl 1.7468 1.7468 4.2203
Cl -1.7468 -1.7468 4.2203



14
Lattice="9.6895 0.0000 0.0000 -4.8447 8.3913 0.0000 0.0000 0.0000 3.3954" Properties=species:S:1:pos:R:3 comment="Nb3S4 | Alexandria via LeMat-Bulk | PBE | optimized geometry" raw_formation_energy_mev_per_atom=-1116 de_polymorph_mev_per_atom=0.0 pbc="T T T"
Nb 0.6895 7.4304 2.5466
Nb 3.5993 4.3123 0.8489
Nb 6.7797 3.1181 0.8489
Nb -1.9350 5.2732 2.5466
Nb 1.2455 4.0790 2.5466
Nb 4.1552 0.9609 0.8489
S 2.8849 5.9664 2.5466
S 5.9649 5.4816 0.8489
S 6.6095 0.4848 0.8489
S -1.7647 7.9065 2.5466
S -1.1201 2.9098 2.5466
S 1.9599 2.4250 0.8489
S 0.0000 5.5942 0.8489
S 4.8447 2.7971 2.5466



Total moment (Bohr magnetons per cell)
0.00; 3.54; 2.54; 1.10; 0.00; 0.00